(1)
{
  "formula": "KSrPO4",
  "functional": "PBEsol",
  "state": "relaxed",
  "lattice": [[5.539, 0.000, 0.000], [0.000, 7.322, 0.000], [0.000, 0.000, 9.604]],
  "species": ["Sr", "O", "O", "O", "O", "O", "K", "P", "O", "Sr", "P", "K", "O", "O", "O", "O", "O", "P", "Sr", "O", "O", "P", "O", "O", "Sr", "K", "K", "O"],
  "frac_coords": [[0.750, 0.002, 0.804], [0.750, 0.984, 0.075], [0.480, 0.292, 0.839], [0.750, 0.484, 0.425], [0.020, 0.292, 0.839], [0.250, 0.516, 0.575], [0.750, 0.343, 0.084], [0.750, 0.273, 0.417], [0.750, 0.692, 0.933], [0.750, 0.502, 0.696], [0.250, 0.727, 0.583], [0.750, 0.843, 0.416], [0.480, 0.792, 0.661], [0.980, 0.708, 0.161], [0.250, 0.308, 0.067], [0.020, 0.792, 0.661], [0.250, 0.016, 0.925], [0.250, 0.227, 0.917], [0.250, 0.498, 0.304], [0.520, 0.708, 0.161], [0.250, 0.808, 0.433], [0.750, 0.773, 0.083], [0.980, 0.208, 0.339], [0.750, 0.192, 0.567], [0.250, 0.998, 0.196], [0.250, 0.157, 0.584], [0.250, 0.657, 0.916], [0.520, 0.208, 0.339]],
  "dos_at_fermi_per_ev_fu": 0.00,
  "e_form_raw_mev_per_atom": -2701.6,
  "total_energy_ev_per_atom": -6.953
}

=====

(2)
{
  "formula": "KTaPO2",
  "functional": "PBEsol",
  "state": "relaxed",
  "lattice": [[-1.456, 2.792, 2.355], [-1.696, -2.762, 2.226], [4.269, -0.253, 2.939]],
  "species": ["K", "Ta", "O", "O", "P"],
  "frac_coords": [[0.000, 0.000, 0.000], [0.500, 0.500, 0.500], [0.000, 0.500, 0.000], [0.500, 0.000, 0.000], [0.000, 0.000, 0.500]],
  "dos_at_fermi_per_ev_fu": 2.85,
  "e_form_raw_mev_per_atom": 1339.1,
  "total_energy_ev_per_atom": -4.656
}

=====

(3)
{
  "formula": "KTaP2O8",
  "functional": "PBEsol",
  "state": "relaxed",
  "lattice": [[-0.128, -1.013, 4.940], [4.402, -0.088, 2.461], [-0.594, 7.838, 1.839]],
  "species": ["O", "O", "O", "O", "P", "O", "O", "O", "P", "Ta", "O", "K"],
  "frac_coords": [[0.216, 0.690, 0.834], [0.690, 0.216, 0.834], [0.691, 0.691, 0.388], [0.784, 0.310, 0.166], [0.354, 0.354, 0.788], [0.786, 0.786, 0.083], [0.214, 0.214, 0.917], [0.309, 0.309, 0.612], [0.646, 0.646, 0.212], [0.000, 0.000, 0.000], [0.310, 0.784, 0.166], [0.000, 0.000, 0.500]],
  "dos_at_fermi_per_ev_fu": 0.00,
  "e_form_raw_mev_per_atom": -2478.5,
  "total_energy_ev_per_atom": -8.084
}

=====

(4)
{
  "formula": "KTbP4O12",
  "functional": "PBEsol",
  "state": "relaxed",
  "lattice": [[-5.567, 1.000, 4.541], [-4.850, -2.183, -5.813], [0.597, -7.915, 2.475]],
  "species": ["O", "P", "K", "O", "P", "P", "Tb", "O", "O", "P", "O", "O", "O", "O", "O", "O", "O", "Tb", "O", "O", "O", "O", "O", "P", "O", "P", "P", "K", "O", "O", "O", "O", "O", "P", "O", "O"],
  "frac_coords": [[0.311, 0.108, 0.282], [0.998, 0.382, 0.098], [0.267, 0.719, 0.067], [0.010, 0.784, 0.709], [0.002, 0.618, 0.598], [0.902, 0.902, 0.833], [0.238, 0.243, 0.750], [0.319, 0.073, 0.977], [0.965, 0.536, 0.198], [0.615, 0.400, 0.998], [0.978, 0.078, 0.803], [0.022, 0.922, 0.303], [0.390, 0.421, 0.556], [0.176, 0.658, 0.484], [0.913, 0.826, 0.997], [0.537, 0.277, 0.139], [0.610, 0.579, 0.056], [0.762, 0.757, 0.250], [0.427, 0.042, 0.652], [0.824, 0.342, 0.984], [0.681, 0.927, 0.477], [0.035, 0.464, 0.698], [0.167, 0.385, 0.995], [0.385, 0.600, 0.498], [0.990, 0.216, 0.209], [0.436, 0.094, 0.124], [0.564, 0.906, 0.624], [0.733, 0.281, 0.567], [0.476, 0.647, 0.342], [0.573, 0.958, 0.152], [0.689, 0.892, 0.782], [0.087, 0.174, 0.497], [0.524, 0.353, 0.842], [0.098, 0.098, 0.333], [0.463, 0.723, 0.639], [0.833, 0.615, 0.495]],
  "dos_at_fermi_per_ev_fu": 0.00,
  "e_form_raw_mev_per_atom": -2481.2,
  "total_energy_ev_per_atom": -7.609
}

=====

(5)
{
  "formula": "KTeP2O",
  "functional": "PBEsol",
  "state": "relaxed",
  "lattice": [[4.087, 0.000, 0.000], [0.000, 5.278, 0.000], [0.000, 0.000, 5.278]],
  "species": ["Te", "P", "K", "P", "O"],
  "frac_coords": [[0.000, 0.000, 0.000], [0.000, 0.000, 0.500], [0.500, 0.500, 0.500], [0.000, 0.500, 0.000], [0.500, 0.000, 0.000]],
  "dos_at_fermi_per_ev_fu": 4.32,
  "e_form_raw_mev_per_atom": 254.1,
  "total_energy_ev_per_atom": -4.044
}

=====

(6)
{
  "formula": "KThP3O10",
  "functional": "PBEsol",
  "state": "relaxed",
  "lattice": [[8.241, 0.000, 0.000], [0.000, 10.051, 0.000], [0.000, 0.000, 10.230]],
  "species": ["O", "K", "O", "O", "O", "O", "P", "O", "O", "Th", "P", "O", "O", "K", "O", "O", "Th", "O", "O", "O", "P", "P", "O", "O", "P", "O", "O", "O", "O", "K", "O", "O", "P", "O", "P", "P", "Th", "O", "O", "O", "K", "P", "O", "O", "O", "O", "O", "P", "O", "O", "Th", "P", "O", "O", "O", "O", "O", "O", "P", "O"],
  "frac_coords": [[0.904, 0.558, 0.861], [0.842, 0.015, 0.421], [0.370, 0.748, 0.297], [0.988, 0.533, 0.621], [0.828, 0.301, 0.520], [0.601, 0.632, 0.706], [0.228, 0.248, 0.365], [0.372, 0.371, 0.878], [0.379, 0.636, 0.907], [0.112, 0.997, 0.098], [0.026, 0.121, 0.760], [0.172, 0.801, 0.980], [0.130, 0.252, 0.797], [0.658, 0.985, 0.921], [0.672, 0.699, 0.020], [0.872, 0.129, 0.122], [0.888, 0.497, 0.402], [0.512, 0.467, 0.121], [0.242, 0.822, 0.510], [0.899, 0.368, 0.206], [0.802, 0.269, 0.125], [0.698, 0.731, 0.625], [0.630, 0.248, 0.203], [0.012, 0.033, 0.879], [0.526, 0.379, 0.240], [0.096, 0.058, 0.639], [0.128, 0.629, 0.378], [0.649, 0.820, 0.239], [0.258, 0.178, 0.010], [0.158, 0.515, 0.079], [0.354, 0.860, 0.786], [0.628, 0.871, 0.622], [0.728, 0.252, 0.635], [0.404, 0.942, 0.139], [0.302, 0.231, 0.875], [0.772, 0.748, 0.135], [0.388, 0.003, 0.598], [0.742, 0.678, 0.490], [0.870, 0.752, 0.703], [0.399, 0.132, 0.794], [0.342, 0.485, 0.579], [0.974, 0.621, 0.740], [0.596, 0.442, 0.361], [0.328, 0.199, 0.480], [0.646, 0.360, 0.714], [0.146, 0.140, 0.286], [0.488, 0.967, 0.379], [0.474, 0.879, 0.260], [0.121, 0.364, 0.407], [0.351, 0.320, 0.261], [0.612, 0.503, 0.902], [0.272, 0.752, 0.865], [0.758, 0.322, 0.990], [0.854, 0.640, 0.214], [0.851, 0.180, 0.739], [0.879, 0.864, 0.093], [0.101, 0.868, 0.294], [0.621, 0.136, 0.593], [0.198, 0.769, 0.375], [0.149, 0.680, 0.761]],
  "dos_at_fermi_per_ev_fu": 0.00,
  "e_form_raw_mev_per_atom": -2634.0,
  "total_energy_ev_per_atom": -7.908
}

=====

(7)
{
  "formula": "K2Ti2P3O12",
  "functional": "PBEsol",
  "state": "relaxed",
  "lattice": [[-4.112, 2.511, 8.680], [-3.321, -9.289, 1.114], [8.404, -2.443, 4.688]],
  "species": ["Ti", "P", "O", "O", "Ti", "P", "O", "P", "O", "P", "O", "O", "O", "O", "K", "O", "O", "O", "K", "P", "O", "K", "O", "O", "Ti", "O", "O", "O", "O", "O", "O", "O", "O", "P", "Ti", "O", "K", "Ti", "O", "O", "O", "Ti", "O", "O", "P", "K", "P", "O", "P", "O", "O", "O", "O", "O", "O", "O", "O", "O", "O", "O", "O", "K", "O", "Ti", "P", "O", "P", "Ti", "O", "K", "O", "K", "O", "P", "O", "O"],
  "frac_coords": [[0.859, 0.641, 0.359], [0.627, 0.043, 0.774], [0.767, 0.579, 0.191], [0.477, 0.453, 0.798], [0.087, 0.587, 0.913], [0.127, 0.457, 0.226], [0.921, 0.809, 0.267], [0.774, 0.627, 0.043], [0.261, 0.478, 0.301], [0.726, 0.373, 0.543], [0.798, 0.477, 0.453], [0.500, 0.079, 0.148], [0.199, 0.739, 0.978], [0.047, 0.202, 0.977], [0.069, 0.431, 0.569], [0.202, 0.977, 0.047], [0.579, 0.352, 0.500], [0.000, 0.921, 0.648], [0.796, 0.296, 0.204], [0.457, 0.226, 0.127], [0.352, 0.500, 0.579], [0.204, 0.796, 0.296], [0.953, 0.702, 0.523], [0.421, 0.852, 0.000], [0.359, 0.859, 0.641], [0.301, 0.261, 0.478], [0.547, 0.298, 0.023], [0.733, 0.421, 0.691], [0.739, 0.978, 0.199], [0.022, 0.699, 0.761], [0.699, 0.761, 0.022], [0.523, 0.953, 0.702], [0.309, 0.233, 0.079], [0.274, 0.873, 0.957], [0.641, 0.359, 0.859], [0.453, 0.798, 0.477], [0.431, 0.569, 0.069], [0.141, 0.141, 0.141], [0.977, 0.047, 0.202], [0.579, 0.191, 0.767], [0.809, 0.267, 0.921], [0.587, 0.913, 0.087], [0.000, 0.421, 0.852], [0.233, 0.079, 0.309], [0.043, 0.774, 0.627], [0.704, 0.704, 0.704], [0.873, 0.957, 0.274], [0.691, 0.733, 0.421], [0.373, 0.543, 0.726], [0.079, 0.309, 0.233], [0.761, 0.022, 0.699], [0.852, 0.000, 0.421], [0.921, 0.648, 0.000], [0.978, 0.199, 0.739], [0.148, 0.500, 0.079], [0.079, 0.148, 0.500], [0.478, 0.301, 0.261], [0.267, 0.921, 0.809], [0.522, 0.801, 0.239], [0.298, 0.023, 0.547], [0.648, 0.000, 0.921], [0.931, 0.931, 0.931], [0.500, 0.579, 0.352], [0.913, 0.087, 0.587], [0.543, 0.726, 0.373], [0.702, 0.523, 0.953], [0.957, 0.274, 0.873], [0.413, 0.413, 0.413], [0.421, 0.691, 0.733], [0.296, 0.204, 0.796], [0.239, 0.522, 0.801], [0.569, 0.069, 0.431], [0.023, 0.547, 0.298], [0.226, 0.127, 0.457], [0.801, 0.239, 0.522], [0.191, 0.767, 0.579]],
  "dos_at_fermi_per_ev_fu": 6.96,
  "e_form_raw_mev_per_atom": -2555.3,
  "total_energy_ev_per_atom": -7.780
}

=====

(8)
{
  "formula": "KTi2P3O12",
  "functional": "PBEsol",
  "state": "relaxed",
  "lattice": [[-0.154, 5.155, 8.391], [-9.838, -0.464, 0.105], [0.450, -8.380, 5.156]],
  "species": ["O", "O", "K", "Ti", "K", "O", "O", "O", "P", "O", "O", "O", "Ti", "Ti", "O", "O", "O", "O", "O", "K", "O", "O", "O", "P", "Ti", "Ti", "O", "P", "O", "O", "O", "P", "O", "P", "O", "P", "O", "O", "O", "Ti", "O", "P", "K", "P", "O", "O", "O", "O", "Ti", "O", "O", "O", "O", "O", "O", "O", "P", "P", "O", "P", "O", "O", "P", "O", "O", "O", "Ti", "O", "O", "O", "O", "O"],
  "frac_coords": [[0.025, 0.802, 0.262], [0.000, 0.579, 0.146], [0.424, 0.924, 0.576], [0.638, 0.138, 0.362], [0.924, 0.576, 0.424], [0.199, 0.519, 0.540], [0.802, 0.262, 0.025], [0.460, 0.699, 0.981], [0.273, 0.626, 0.454], [0.699, 0.981, 0.460], [0.738, 0.525, 0.698], [0.421, 0.646, 0.500], [0.413, 0.087, 0.913], [0.862, 0.862, 0.862], [0.525, 0.698, 0.738], [0.196, 0.732, 0.083], [0.301, 0.481, 0.040], [0.083, 0.196, 0.732], [0.268, 0.583, 0.304], [0.576, 0.424, 0.924], [0.696, 0.768, 0.917], [0.354, 0.000, 0.079], [0.981, 0.460, 0.699], [0.874, 0.546, 0.773], [0.087, 0.913, 0.413], [0.138, 0.362, 0.638], [0.302, 0.238, 0.975], [0.773, 0.874, 0.546], [0.768, 0.917, 0.696], [0.960, 0.801, 0.019], [0.801, 0.019, 0.960], [0.954, 0.227, 0.374], [0.262, 0.025, 0.802], [0.374, 0.954, 0.227], [0.481, 0.040, 0.301], [0.126, 0.046, 0.727], [0.146, 0.000, 0.579], [0.000, 0.079, 0.354], [0.583, 0.304, 0.268], [0.587, 0.587, 0.587], [0.198, 0.762, 0.475], [0.046, 0.727, 0.126], [0.076, 0.076, 0.076], [0.727, 0.126, 0.046], [0.804, 0.232, 0.417], [0.917, 0.696, 0.768], [0.762, 0.475, 0.198], [0.540, 0.199, 0.519], [0.362, 0.638, 0.138], [0.417, 0.804, 0.232], [0.500, 0.421, 0.646], [0.646, 0.500, 0.421], [0.579, 0.146, 0.000], [0.854, 0.500, 0.921], [0.519, 0.540, 0.199], [0.019, 0.960, 0.801], [0.546, 0.773, 0.874], [0.626, 0.454, 0.273], [0.732, 0.083, 0.196], [0.454, 0.273, 0.626], [0.238, 0.975, 0.302], [0.079, 0.354, 0.000], [0.227, 0.374, 0.954], [0.975, 0.302, 0.238], [0.921, 0.854, 0.500], [0.698, 0.738, 0.525], [0.913, 0.413, 0.087], [0.475, 0.198, 0.762], [0.304, 0.268, 0.583], [0.232, 0.417, 0.804], [0.040, 0.301, 0.481], [0.500, 0.921, 0.854]],
  "dos_at_fermi_per_ev_fu": 0.00,
  "de_polymorph_mev_per_atom": 10,
  "e_form_raw_mev_per_atom": -2582.7,
  "total_energy_ev_per_atom": -8.035
}

=====

(9)
{
  "formula": "KTi2P3O12",
  "functional": "PBEsol",
  "state": "relaxed",
  "lattice": [[-1.641, 5.007, -6.596], [-7.961, 1.106, -2.582], [-3.903, 8.056, 1.685]],
  "species": ["O", "O", "O", "O", "O", "O", "O", "P", "K", "O", "K", "O", "O", "Ti", "O", "O", "O", "O", "Ti", "P", "Ti", "O", "O", "O", "P", "O", "O", "O", "O", "O", "P", "P", "O", "P", "O", "Ti"],
  "frac_coords": [[0.990, 0.248, 0.410], [0.567, 0.795, 0.207], [0.352, 0.990, 0.410], [0.510, 0.148, 0.090], [0.148, 0.252, 0.090], [0.248, 0.352, 0.410], [0.795, 0.431, 0.207], [0.032, 0.750, 0.750], [0.000, 0.000, 0.000], [0.431, 0.567, 0.207], [0.500, 0.500, 0.500], [0.490, 0.852, 0.910], [0.069, 0.705, 0.293], [0.851, 0.851, 0.446], [0.569, 0.433, 0.793], [0.931, 0.295, 0.707], [0.705, 0.933, 0.293], [0.067, 0.931, 0.707], [0.149, 0.149, 0.554], [0.968, 0.250, 0.250], [0.351, 0.351, 0.946], [0.252, 0.510, 0.090], [0.205, 0.569, 0.793], [0.648, 0.010, 0.590], [0.250, 0.532, 0.250], [0.933, 0.069, 0.293], [0.748, 0.490, 0.910], [0.433, 0.205, 0.793], [0.010, 0.752, 0.590], [0.752, 0.648, 0.590], [0.468, 0.032, 0.750], [0.750, 0.468, 0.750], [0.295, 0.067, 0.707], [0.532, 0.968, 0.250], [0.852, 0.748, 0.910], [0.649, 0.649, 0.054]],
  "dos_at_fermi_per_ev_fu": 0.00,
  "de_polymorph_mev_per_atom": 0,
  "e_form_raw_mev_per_atom": -2592.5,
  "total_energy_ev_per_atom": -8.045
}